[1]
Material: Ba2NaH2
Method: DFT, PBE-GGA
State: optimized geometry

Computed properties:
For the density of states at the Fermi level, the calculation gives 8.126 states/eV per cell. As for the final energy: -2.43 eV per atom.

a b c (Å): 8.174 8.174 3.930
angles (deg): 90.00 90.00 90.00
Space group P4/mbm (No. 127)
Asymmetric unit:
Ba1 0.168 0.332 0.000 (multiplicity 4)
Na1 0.000 0.000 0.500 (multiplicity 2)
H1 0.135 0.635 0.500 (multiplicity 4)

[2]
Material: Ba2Na2H
Method: DFT, PBE-GGA
State: optimized geometry

Computed properties:
For the density of states at the Fermi level, the calculation gives 7.605 states/eV per cell. As for the final energy: -1.96 eV per atom.

a b c (Å): 7.727 7.727 6.973
angles (deg): 90.00 90.00 90.00
Space group P4/mbm (No. 127)
Asymmetric unit:
Ba1 0.189 0.311 0.000 (multiplicity 4)
Na1 0.153 0.653 0.500 (multiplicity 4)
H1 0.000 0.000 0.000 (multiplicity 2)

[3]
Material: Ba4Na2H
Method: DFT, PBE-GGA
State: optimized geometry

Computed properties:
For the density of states at the Fermi level, the calculation gives 12.760 states/eV per cell. As for the final energy: -1.99 eV per atom.

a b c (Å): 5.656 5.656 20.586
angles (deg): 90.00 90.00 90.00
Space group I4/mmm (No. 139)
Asymmetric unit:
Ba1 0.000 0.000 0.174 (multiplicity 4)
Ba2 0.000 0.500 0.000 (multiplicity 4)
Na1 0.000 0.000 0.365 (multiplicity 4)
H1 0.000 0.000 0.000 (multiplicity 2)

[4]
Material: BaNa3H
Method: DFT, PBE-GGA
State: optimized geometry

Computed properties:
For the density of states at the Fermi level, the calculation gives 4.665 states/eV per cell. As for the final energy: -1.63 eV per atom.

a b c (Å): 5.551 5.551 5.551
angles (deg): 90.00 90.00 90.00
Space group Pm-3m (No. 221)
Asymmetric unit:
Ba1 0.000 0.000 0.000 (multiplicity 1)
Na1 0.000 0.500 0.500 (multiplicity 3)
H1 0.500 0.500 0.500 (multiplicity 1)

[5]
Material: Ba12Na3H5
Method: DFT, PBE-GGA
State: optimized geometry

Computed properties:
For the density of states at the Fermi level, the calculation gives 191.642 states/eV per cell. As for the final energy: -2.30 eV per atom.

a b c (Å): 18.963 18.963 18.963
angles (deg): 90.00 90.00 90.00
Space group Ia-3d (No. 230)
Asymmetric unit:
Ba1 0.042 0.050 0.651 (multiplicity 96)
Na1 0.000 0.250 0.125 (multiplicity 24)
H1 0.000 0.000 0.000 (multiplicity 16)
H2 0.000 0.250 0.375 (multiplicity 24)

[6]
Material: Ba4NaH8
Method: DFT, PBE-GGA
State: optimized geometry

Computed properties:
For the density of states at the Fermi level, the calculation gives 2.149 states/eV per cell. As for the final energy: -3.14 eV per atom.

a b c (Å): 6.424 6.424 6.424
angles (deg): 90.00 90.00 90.00
Space group Pm-3m (No. 221)
Asymmetric unit:
Ba1 0.000 0.000 0.000 (multiplicity 1)
Ba2 0.000 0.500 0.500 (multiplicity 3)
Na1 0.500 0.500 0.500 (multiplicity 1)
H1 0.262 0.262 0.262 (multiplicity 8)

[7]
Material: Ba3NaH
Method: DFT, PBE-GGA
State: optimized geometry

Computed properties:
For the density of states at the Fermi level, the calculation gives 4.423 states/eV per cell. As for the final energy: -2.18 eV per atom.

a b c (Å): 5.989 5.989 5.989
angles (deg): 90.00 90.00 90.00
Space group Pm-3m (No. 221)
Asymmetric unit:
Ba1 0.000 0.000 0.500 (multiplicity 3)
Na1 0.500 0.500 0.500 (multiplicity 1)
H1 0.000 0.000 0.000 (multiplicity 1)

[8]
Material: BaNa2H2
Method: DFT, PBE-GGA
State: optimized geometry

Computed properties:
For the density of states at the Fermi level, the calculation gives 1.151 states/eV per cell. As for the final energy: -2.29 eV per atom.

a b c (Å): 7.332 7.332 5.167
angles (deg): 90.00 90.00 90.00
Space group P4/mbm (No. 127)
Asymmetric unit:
Ba1 0.000 0.000 0.000 (multiplicity 2)
Na1 0.164 0.336 0.500 (multiplicity 4)
H1 0.187 0.313 0.000 (multiplicity 4)

[9]
Material: BaNa2H
Method: DFT, PBE-GGA
State: optimized geometry

Computed properties:
For the density of states at the Fermi level, the calculation gives 20.143 states/eV per cell. As for the final energy: -1.84 eV per atom.

a b c (Å): 7.370 7.370 10.443
angles (deg): 90.00 90.00 90.00
Space group I-42d (No. 122)
Asymmetric unit:
Ba1 0.000 0.000 0.000 (multiplicity 4)
Na1 0.001 0.250 0.625 (multiplicity 8)
H1 0.000 0.000 0.500 (multiplicity 4)

[10]
Material: BaNaH3
Method: DFT, PBE-GGA
State: optimized geometry

Computed properties:
For the density of states at the Fermi level, the calculation gives 0.000 states/eV per cell. As for the final energy: -2.99 eV per atom.

a b c (Å): 5.959 12.900 4.089
angles (deg): 90.00 90.00 90.00
Space group Cmmm (No. 65)
Asymmetric unit:
Ba1 0.000 0.147 0.000 (multiplicity 4)
Na1 0.000 0.387 0.500 (multiplicity 4)
H1 0.000 0.344 0.000 (multiplicity 4)
H2 0.204 0.000 0.500 (multiplicity 4)
H3 0.250 0.250 0.500 (multiplicity 4)

[11]
Material: BaNa2H
Method: DFT, PBE-GGA
State: optimized geometry

Computed properties:
For the density of states at the Fermi level, the calculation gives 8.293 states/eV per cell. As for the final energy: -1.84 eV per atom.

a b c (Å): 3.7659 3.7659 31.7640
angles (deg): 90.00 90.00 120.00
Space group R-3m (No. 166, hexagonal axes)
Asymmetric unit:
Ba1 0.0000 0.0000 0.0000 (multiplicity 3)
Na1 0.0000 0.0000 0.1216 (multiplicity 6)
H1 0.0000 0.0000 0.5000 (multiplicity 3)

[12]
Material: Ba2NaH
Method: DFT, PBE-GGA
State: optimized geometry

Computed properties:
For the density of states at the Fermi level, the calculation gives 8.259 states/eV per cell. As for the final energy: -2.24 eV per atom.

a b c (Å): 8.384 8.384 9.296
angles (deg): 90.00 90.00 90.00
Space group I-42d (No. 122)
Asymmetric unit:
Ba1 0.129 0.250 0.125 (multiplicity 8)
Na1 0.000 0.000 0.500 (multiplicity 4)
H1 0.000 0.000 0.000 (multiplicity 4)